Entry 1:
Material: Pr2Cu3Ge
Method: DFT, GGA-PBE
State: optimized geometry

```
data_Pr2Cu3Ge
_chemical_formula_sum 'Pr16 Cu24 Ge8'
_space_group_name_H-M_alt 'F m m m'
_space_group_IT_number 69
_space_group_name_Hall '-F 2 2'
_cell_length_a 7.8245
_cell_length_b 8.6648
_cell_length_c 14.8992
_cell_angle_alpha 90.00
_cell_angle_beta 90.00
_cell_angle_gamma 90.00
loop_
_atom_site_label
_atom_site_type_symbol
_atom_site_fract_x
_atom_site_fract_y
_atom_site_fract_z
_atom_site_occupancy
Pr1 Pr 0.2381 0.0000 0.0000 1
Pr2 Pr 0.2500 0.2500 0.2500 1
Cu1 Cu 0.0000 0.0000 0.1678 1
Cu2 Cu 0.0000 0.2485 0.4163 1
Ge1 Ge 0.0000 0.0000 0.3356 1
```

Calculated values
Calculated formation energy: -386 meV/atom
Density of states at the Fermi level: 0.673 states/eV/atom
Offset from the most stable computed form: 0 meV per atom
DFT total energy: -230.2 eV/cell

***

Entry 2:
Material: Pr7Cu2Ge2
Method: DFT, GGA-PBE
State: optimized geometry

```
data_Pr7Cu2Ge2
_chemical_formula_sum 'Pr14 Cu4 Ge4'
_space_group_name_H-M_alt 'C m m m'
_space_group_IT_number 65
_space_group_name_Hall '-C 2 2'
_cell_length_a 7.9813
_cell_length_b 11.3285
_cell_length_c 7.1005
_cell_angle_alpha 90.00
_cell_angle_beta 90.00
_cell_angle_gamma 90.00
loop_
_atom_site_label
_atom_site_type_symbol
_atom_site_fract_x
_atom_site_fract_y
_atom_site_fract_z
_atom_site_occupancy
Pr1 Pr 0.0000 0.0000 0.0000 1
Pr2 Pr 0.0000 0.5000 0.2517 1
Pr3 Pr 0.2500 0.2500 0.2762 1
Cu1 Cu 0.0000 0.2856 0.0000 1
Ge1 Ge 0.1633 0.0000 0.5000 1
```

Calculated values
Calculated formation energy: -109 meV/atom
Density of states at the Fermi level: 1.266 states/eV/atom
DFT total energy: -104.2 eV/cell

***

Entry 3:
Material: PrCu4Ge
Method: DFT, GGA-PBE
State: optimized geometry

```
data_PrCu4Ge
_chemical_formula_sum 'Pr4 Cu16 Ge4'
_space_group_name_H-M_alt 'F -4 3 m'
_space_group_IT_number 216
_space_group_name_Hall 'F -4 2 3'
_cell_length_a 7.2993
_cell_length_b 7.2993
_cell_length_c 7.2993
_cell_angle_alpha 90.00
_cell_angle_beta 90.00
_cell_angle_gamma 90.00
loop_
_atom_site_label
_atom_site_type_symbol
_atom_site_fract_x
_atom_site_fract_y
_atom_site_fract_z
_atom_site_occupancy
Pr1 Pr 0.0000 0.0000 0.0000 1
Cu1 Cu 0.1242 0.1242 0.6242 1
Ge1 Ge 0.2500 0.2500 0.2500 1
```

Calculated values
Calculated formation energy: -117 meV/atom
Density of states at the Fermi level: 0.635 states/eV/atom
DFT total energy: -105.9 eV/cell